Entry 1:
7
Lattice="-1.673 1.673 9.624 1.673 -1.673 9.624 1.673 1.673 -9.624" Properties=species:S:1:pos:R:3 comment="Os3Pt4, relaxed, DFT PBE-GGA" n_ef_per_ev_fu=7.73 total_energy_ev_per_atom=-7.95 pbc="T T T"
Os 0.000 0.000 0.000
Os 0.000 0.000 5.408
Os 0.000 0.000 13.840
Pt 0.000 0.000 2.756
Pt 0.000 0.000 8.279
Pt 0.000 0.000 10.969
Pt 0.000 0.000 16.493


Entry 2:
8
Lattice="7.496 0.000 0.000 0.000 4.331 0.000 -2.500 0.000 7.115" Properties=species:S:1:pos:R:3 comment="DyNp2ScSb4, relaxed, DFT PBE-GGA" n_ef_per_ev_fu=20.90 raw_formation_energy_mev_per_atom=-601 pbc="T T T"
Dy 0.000 0.000 0.000
Np -1.250 2.166 3.557
Np 2.498 0.000 3.557
Sc 3.748 2.166 0.000
Sb 1.301 2.166 1.737
Sb 0.050 0.000 5.412
Sb 4.945 0.000 1.703
Sb 3.695 2.166 5.378


Entry 3:
12
Lattice="4.778 0.000 0.000 0.271 4.775 0.000 0.313 0.292 6.718" Properties=species:S:1:pos:R:3 comment="Li2CaTiF8, relaxed, DFT PBE-GGA" n_ef_per_ev_fu=0.00 raw_formation_energy_mev_per_atom=-3359 pbc="T T T"
Li 0.210 0.198 1.896
Li 5.152 4.869 4.821
Ca 2.681 2.534 3.359
Ti 2.524 2.387 0.000
F 1.098 1.031 3.404
F 1.185 1.112 0.182
F 1.854 3.538 5.314
F 1.715 3.410 1.405
F 3.646 1.657 5.313
F 3.508 1.529 1.403
F 4.177 3.955 6.536
F 4.264 4.036 3.313


Entry 4:
6
Lattice="-2.116 2.116 8.492 2.116 -2.116 8.492 2.116 2.116 -8.492" Properties=species:S:1:pos:R:3 comment="PaTeAs, relaxed, DFT PBE-GGA" n_ef_per_ev_fu=2.77 raw_formation_energy_mev_per_atom=-922 pbc="T T T"
Pa 0.000 0.000 1.967
Pa 0.000 0.000 15.018
Te 0.000 0.000 5.339
Te 0.000 0.000 11.646
As 2.116 0.000 0.000
As 0.000 2.116 0.000


Entry 5:
5
Lattice="1.926 -8.052 0.000 1.926 8.052 0.000 0.000 0.000 3.890" Properties=species:S:1:pos:R:3 comment="SmTh2Fe2, relaxed, DFT PBE-GGA" n_ef_per_ev_fu=6.98 total_energy_ev_per_atom=-7.30 pbc="T T T"
Sm 0.000 0.000 0.000
Th 1.926 2.398 1.945
Th 1.926 -2.398 1.945
Fe 1.926 4.712 0.000
Fe 1.926 -4.712 0.000


Entry 6:
80
Lattice="-8.766 8.766 8.766 8.766 -8.766 8.766 8.766 8.766 -8.766" Properties=species:S:1:pos:R:3 comment="Tl12Ag3Hg5, relaxed, DFT PBE-GGA" n_ef_per_ev_fu=13.81 total_energy_ev_per_atom=-1.73 pbc="T T T"
Tl 8.490 -1.471 2.652
Tl 13.424 -1.731 2.911
Tl 2.652 -0.275 1.471
Tl 10.496 5.854 -4.658
Tl 11.418 0.275 1.471
Tl 10.496 -2.911 4.658
Tl 1.471 2.652 -0.275
Tl 11.677 4.107 -1.731
Tl 5.854 4.658 -1.731
Tl 7.294 2.652 0.275
Tl -0.275 1.471 2.652
Tl 4.658 -1.731 5.854
Tl 8.490 7.294 -2.652
Tl 4.658 1.731 2.911
Tl 7.294 -2.652 8.490
Tl 5.854 -4.658 10.496
Tl 2.911 4.658 1.731
Tl 10.237 6.113 0.275
Tl 2.652 8.490 -1.471
Tl 10.496 2.911 4.107
Tl 1.731 2.911 4.658
Tl 2.652 0.275 7.294
Tl 4.658 10.496 -2.911
Tl 8.490 1.471 6.113
Tl 0.275 7.294 2.652
Tl 4.107 -1.731 11.677
Tl 6.113 8.490 1.471
Tl 7.035 5.854 4.107
Tl -1.731 5.854 4.658
Tl 6.113 0.275 10.237
Tl -1.471 2.652 8.490
Tl 5.854 4.107 7.035
Tl 2.911 13.424 -1.731
Tl 1.471 11.418 0.275
Tl 4.107 7.035 5.854
Tl 0.275 1.471 11.418
Tl 4.107 10.496 2.911
Tl 9.041 7.294 6.113
Tl 1.471 6.113 8.490
Tl 2.911 4.107 10.496
Tl -2.911 4.658 10.496
Tl 7.294 6.113 9.041
Tl -1.731 11.677 4.107
Tl -2.652 8.490 7.294
Tl -1.731 2.911 13.424
Tl 6.113 9.041 7.294
Tl -4.658 10.496 5.854
Tl 0.275 10.237 6.113
Ag 4.383 2.191 0.000
Ag 8.766 4.383 -2.191
Ag 2.191 0.000 4.383
Ag 10.957 0.000 4.383
Ag 0.000 4.383 2.191
Ag 4.383 -2.191 8.766
Ag 4.383 10.957 0.000
Ag 8.766 4.383 6.574
Ag -2.191 8.766 4.383
Ag 6.574 8.766 4.383
Ag 0.000 4.383 10.957
Ag 4.383 6.574 8.766
Hg 0.000 0.000 0.000
Hg 4.383 4.383 -4.383
Hg 4.383 -4.383 4.383
Hg 8.766 0.000 0.000
Hg 13.148 2.191 0.000
Hg 8.766 -4.383 6.574
Hg 6.574 8.766 -4.383
Hg 6.574 0.000 4.383
Hg 4.383 6.574 0.000
Hg 8.766 4.383 2.191
Hg -4.383 4.383 4.383
Hg 0.000 8.766 0.000
Hg 0.000 0.000 8.766
Hg 4.383 4.383 4.383
Hg 0.000 4.383 6.574
Hg 4.383 2.191 8.766
Hg 2.191 8.766 4.383
Hg 2.191 0.000 13.148
Hg 0.000 13.148 2.191
Hg -4.383 6.574 8.766


Entry 7:
4
Lattice="-1.988 1.988 4.823 1.988 -1.988 4.823 1.988 1.988 -4.823" Properties=species:S:1:pos:R:3 comment="TcTeAu2, relaxed, DFT PBE-GGA" n_ef_per_ev_fu=2.49 raw_formation_energy_mev_per_atom=503 pbc="T T T"
Tc 0.000 0.000 0.000
Te 0.000 0.000 4.823
Au 1.988 0.000 2.412
Au 0.000 1.988 2.412


Entry 8:
4
Lattice="3.586 0.000 0.000 -1.793 3.106 0.000 0.000 0.000 6.814" Properties=species:S:1:pos:R:3 comment="NiCl, relaxed, DFT PBE-GGA" n_ef_per_ev_fu=1.79 raw_formation_energy_mev_per_atom=-165 pbc="T T T"
Ni 0.000 0.000 0.000
Ni 0.000 2.070 1.466
Cl 0.000 0.000 2.372
Cl 1.793 1.035 5.749


Entry 9:
4
Lattice="1.747 1.009 9.124 -1.747 1.009 9.124 0.000 -2.017 9.124" Properties=species:S:1:pos:R:3 comment="SrLi2H, relaxed, DFT PBE-GGA" n_ef_per_ev_fu=2.26 relative_energy_ev_per_atom=0.1500 pbc="T T T"
Sr 0.000 0.000 0.000
Li 0.000 0.000 3.438
Li 0.000 0.000 23.933
H 0.000 0.000 13.685


Entry 10:
8
Lattice="2.534 1.463 8.857 -2.534 1.463 8.857 0.000 -2.926 8.857" Properties=species:S:1:pos:R:3 comment="SrLi2DyHg4, relaxed, DFT PBE-GGA" n_ef_per_ev_fu=3.98 total_energy_ev_per_atom=-1.83 pbc="T T T"
Sr 0.000 0.000 0.000
Li 0.000 0.000 6.428
Li 0.000 0.000 20.144
Dy 0.000 0.000 13.286
Hg 0.000 0.000 3.376
Hg 0.000 0.000 10.290
Hg 0.000 0.000 16.281
Hg 0.000 0.000 23.195


Entry 11:
16
Lattice="7.009 0.000 0.000 0.000 7.009 0.000 0.000 0.000 9.915" Properties=species:S:1:pos:R:3 comment="CeEr14Tm, relaxed, DFT PBE-GGA" n_ef_per_ev_fu=20.66 total_energy_ev_per_atom=-4.61 pbc="T T T"
Ce 0.000 0.000 0.000
Er 0.000 0.000 4.957
Er 0.000 3.504 0.000
Er 0.000 3.504 4.957
Er 1.748 1.748 2.476
Er 1.748 1.748 7.438
Er 1.748 5.261 2.476
Er 1.748 5.261 7.438
Er 3.504 0.000 0.000
Er 3.504 0.000 4.957
Er 3.504 3.504 4.957
Er 5.261 1.748 2.476
Er 5.261 1.748 7.438
Er 5.261 5.261 2.476
Er 5.261 5.261 7.438
Tm 3.504 3.504 0.000


Entry 12:
5
Lattice="5.492 0.000 0.000 0.000 5.492 0.000 0.000 0.000 5.492" Properties=species:S:1:pos:R:3 comment="TiAuI3, relaxed, DFT PBE-GGA" n_ef_per_ev_fu=7.19 relative_energy_ev_per_atom=0.0000 raw_formation_energy_mev_per_atom=57 pbc="T T T"
Ti 0.000 0.000 0.000
Au 2.746 2.746 2.746
I 0.000 0.000 2.746
I 0.000 2.746 0.000
I 2.746 0.000 0.000


Entry 13:
2
Lattice="2.277 0.000 0.000 0.000 4.273 0.000 -0.985 0.000 2.233" Properties=species:S:1:pos:R:3 comment="LiBe, relaxed, DFT PBE-GGA" n_ef_per_ev_fu=0.62 relative_energy_ev_per_atom=0.1246 pbc="T T T"
Li 0.000 0.000 0.000
Be 0.646 2.137 1.117


Entry 14:
3
Lattice="-1.609 1.609 6.107 1.609 -1.609 6.107 1.609 1.609 -6.107" Properties=species:S:1:pos:R:3 comment="CeScNi, relaxed, DFT PBE-GGA" n_ef_per_ev_fu=6.07 relative_energy_ev_per_atom=0.1009 pbc="T T T"
Ce 0.000 0.000 0.000
Sc 0.000 0.000 3.323
Ni 0.000 0.000 8.013


Entry 15:
3
Lattice="-1.696 1.696 4.321 1.696 -1.696 4.321 1.696 1.696 -4.321" Properties=species:S:1:pos:R:3 comment="TaGaW, relaxed, DFT PBE-GGA" n_ef_per_ev_fu=1.25 relative_energy_ev_per_atom=0.0000 pbc="T T T"
Ta 0.000 0.000 0.000
Ga 0.000 0.000 2.820
W 0.000 0.000 5.704


Entry 16:
4
Lattice="4.187 0.000 0.000 0.000 4.544 0.000 0.000 0.000 6.182" Properties=species:S:1:pos:R:3 comment="Tl2AgCl, relaxed, DFT PBE-GGA" n_ef_per_ev_fu=0.38 relative_energy_ev_per_atom=0.0000 raw_formation_energy_mev_per_atom=-345 pbc="T T T"
Tl 0.000 0.000 0.000
Tl 2.093 2.272 3.091
Ag 0.000 0.000 3.091
Cl 2.093 2.272 0.000


Entry 17:
6
Lattice="2.608 1.506 7.856 -2.608 1.506 7.856 0.000 -3.012 7.856" Properties=species:S:1:pos:R:3 comment="HoSb2, relaxed, DFT PBE-GGA" n_ef_per_ev_fu=1.14 raw_formation_energy_mev_per_atom=-383 pbc="T T T"
Ho 0.000 0.000 1.841
Ho 0.000 0.000 21.726
Sb 0.000 0.000 5.166
Sb 0.000 0.000 8.126
Sb 0.000 0.000 15.441
Sb 0.000 0.000 18.401


Entry 18:
5
Lattice="-3.298 3.298 4.338 3.298 -3.298 4.338 3.298 3.298 -4.338" Properties=species:S:1:pos:R:3 comment="Ba2Hg2Au, relaxed, DFT PBE-GGA" n_ef_per_ev_fu=6.15 relative_energy_ev_per_atom=0.2452 pbc="T T T"
Ba 3.298 0.000 2.169
Ba 0.000 3.298 2.169
Hg 0.000 0.000 1.396
Hg 0.000 0.000 7.279
Au 0.000 0.000 4.338


Entry 19:
4
Lattice="3.314 0.000 0.000 0.000 3.314 0.000 0.000 0.000 9.291" Properties=species:S:1:pos:R:3 comment="CrSb2Pb, relaxed, DFT PBE-GGA" n_ef_per_ev_fu=2.10 raw_formation_energy_mev_per_atom=321 pbc="T T T"
Cr 0.000 0.000 0.000
Sb 0.000 0.000 4.754
Sb 1.657 1.657 7.662
Pb 1.657 1.657 2.102


Entry 20:
9
Lattice="4.188 0.000 0.000 0.000 4.188 0.000 0.000 0.000 8.648" Properties=species:S:1:pos:R:3 comment="Na2ErPaO5, relaxed, DFT PBE-GGA" n_ef_per_ev_fu=0.00 raw_formation_energy_mev_per_atom=-2620 pbc="T T T"
Na 0.000 0.000 2.038
Na 0.000 0.000 6.610
Er 2.094 2.094 4.324
Pa 2.094 2.094 0.000
O 0.000 0.000 4.324
O 0.000 2.094 0.000
O 2.094 0.000 0.000
O 2.094 2.094 2.214
O 2.094 2.094 6.434


Entry 21:
8
Lattice="4.594 0.000 0.000 0.000 4.641 4.685 0.000 -4.641 4.685" Properties=species:S:1:pos:R:3 comment="TbZrSc6, relaxed, DFT PBE-GGA" n_ef_per_ev_fu=13.41 relative_energy_ev_per_atom=0.0093 pbc="T T T"
Tb 0.000 0.000 0.000
Zr 2.297 0.000 2.353
Sc 0.000 -2.257 2.314
Sc 0.000 0.000 4.580
Sc 0.000 2.257 2.314
Sc 2.297 -2.275 4.640
Sc 2.297 2.275 4.640
Sc 2.297 0.000 6.946


Entry 22:
4
Lattice="3.871 0.000 0.000 0.000 4.147 0.000 -0.094 0.000 4.163" Properties=species:S:1:pos:R:3 comment="Cu2SbAu, relaxed, DFT PBE-GGA" n_ef_per_ev_fu=1.09 raw_formation_energy_mev_per_atom=72 pbc="T T T"
Cu 0.000 0.000 0.000
Cu -0.047 2.074 2.081
Sb 1.888 0.000 2.081
Au 1.935 2.074 0.000


Entry 23:
14
Lattice="5.048 -8.725 0.000 5.048 8.725 0.000 0.000 0.000 6.353" Properties=species:S:1:pos:R:3 comment="K3SbS3, relaxed, DFT PBE-GGA" n_ef_per_ev_fu=4.50 raw_formation_energy_mev_per_atom=-706 pbc="T T T"
K 5.048 5.677 4.764
K 2.655 1.525 4.764
K 2.655 -1.525 1.588
K 7.442 1.525 4.764
K 7.442 -1.525 1.588
K 5.048 -5.677 1.588
Sb 5.048 2.912 1.588
Sb 5.048 -2.912 4.764
S 5.048 5.424 1.588
S 2.875 1.653 1.588
S 2.875 -1.653 4.764
S 7.222 1.653 1.588
S 7.222 -1.653 4.764
S 5.048 -5.424 4.764


Theoretical density
In order: 20.810, 8.399, 2.750, 9.467, 9.994, 9.318, 13.496, 4.120, 1.765, 8.986, 9.037, 6.271, 1.219, 6.402, 14.517, 7.794, 7.327, 7.681, 8.181, 5.738, 4.321, 11.080, 1.989
Unit: g cm⁻³